[1]
The following is a PBE calculation of a geometry-optimized InOsSe2 structure, from Alexandria. Values from VASP.

Geometry as Quantum ESPRESSO input:
```
&SYSTEM
  ibrav = 0, nat = 4, ntyp = 3
/
ATOMIC_SPECIES
Se 78.96 Se.upf
Os 190.23 Os.upf
In 114.82 In.upf
ATOMIC_POSITIONS crystal
Se 0.884 0.884 0.884
Se 0.116 0.116 0.116
Os 0.500 0.500 0.500
In 0.000 0.000 0.000
CELL_PARAMETERS angstrom
-0.252 -4.453 7.573
2.008 -6.547 5.508
3.343 -3.584 7.295
```

## Properties
Its uncorrected formation energy is 0.074 eV per atom. The calculation puts the density at 7.6 g/cm³. The density of states at the Fermi level is 1.679 states/eV per atom. The symmetry is R-3m (166).

=====

[2]
The following is a PBE calculation of a geometry-optimized In4OsSe structure, from Alexandria. Values from VASP.

Geometry as Quantum ESPRESSO input:
```
&SYSTEM
  ibrav = 0, nat = 6, ntyp = 3
/
ATOMIC_SPECIES
In 114.82 In.upf
Se 78.96 Se.upf
Os 190.23 Os.upf
ATOMIC_POSITIONS crystal
In 0.874 0.375 0.375
In 0.375 0.874 0.375
In 0.375 0.375 0.375
In 0.375 0.375 0.874
Se 0.000 0.000 0.000
Os 0.750 0.750 0.750
CELL_PARAMETERS angstrom
4.177 -3.938 1.255
2.549 0.007 5.294
-1.104 -4.345 3.799
```

## Properties
Its uncorrected formation energy is 0.904 eV per atom. The calculation puts the density at 8.4 g/cm³. The density of states at the Fermi level is 0.437 states/eV per atom. The symmetry is F-43m (216).

=====

[3]
The following is a PBE calculation of a geometry-optimized InOsSe2 structure, from Alexandria. Values from VASP.

Geometry as Quantum ESPRESSO input:
```
&SYSTEM
  ibrav = 0, nat = 4, ntyp = 3
/
ATOMIC_SPECIES
In 114.82 In.upf
Se 78.96 Se.upf
Os 190.23 Os.upf
ATOMIC_POSITIONS crystal
In 0.500 0.500 0.250
Se 0.000 0.000 0.929
Se 0.000 0.000 0.571
Os 0.500 0.500 0.750
CELL_PARAMETERS angstrom
3.081 0.000 0.000
0.000 3.081 0.000
0.000 0.000 8.736
```

## Properties
Its uncorrected formation energy is 0.312 eV per atom. The calculation puts the density at 9.3 g/cm³. The density of states at the Fermi level is 0.888 states/eV per atom. The symmetry is P4/mmm (123).

=====

[4]
The following is a PBE calculation of a geometry-optimized InOsSe2 structure, from Alexandria. Values from VASP.

Geometry as Quantum ESPRESSO input:
```
&SYSTEM
  ibrav = 0, nat = 4, ntyp = 3
/
ATOMIC_SPECIES
Se 78.96 Se.upf
In 114.82 In.upf
Os 190.23 Os.upf
ATOMIC_POSITIONS crystal
Se 0.000 0.000 0.000
Se 0.250 0.750 0.500
In 0.500 0.500 0.000
Os 0.750 0.250 0.500
CELL_PARAMETERS angstrom
-3.025 4.017 0.202
-4.559 -1.827 1.100
4.391 -0.795 2.329
```

## Properties
Its uncorrected formation energy is 0.767 eV per atom. The calculation puts the density at 10.3 g/cm³. The density of states at the Fermi level is 0.632 states/eV per atom. The symmetry is I-4m2 (119).

=====

What is the density of states at the Fermi level in the second record? 0.437 states/eV per atom